Entry 1:
The following is a PBE calculation of an optimized crystal structure of NdGa3Ni, from Alexandria via LeMat-Bulk.

- symmetry = No. 42
- energy above the lowest structure with this stoichiometry (eV per atom) = 0.000
- final energy (eV per atom) = -4.5369
- magnetic moment (μB/f.u.) = 0.000

The structure in extended XYZ format:
```
5
Lattice="-1.534 -0.014 -3.991 -3.720 -1.538 1.442 -4.338 3.966 -0.633" Properties=species:S:1:pos:R:3 pbc="T T T"
Ga -6.656 2.332 -2.024
Ga -5.322 0.767 -0.241
Ga -4.229 1.529 -2.957
Nd -4.320 3.916 -0.640
Ni -3.103 0.543 -1.096
```

=====

Entry 2:
The following is a PBE calculation of an optimized crystal structure of Ba2Tl6HgPt, from Alexandria via LeMat-Bulk.

- symmetry = No. 166
- final energy (eV per atom) = -2.6292
- magnetic moment (μB/f.u.) = 0.000

The structure in extended XYZ format:
```
20
Lattice="7.598 0.000 0.000 3.799 6.580 0.000 3.799 2.193 13.211" Properties=species:S:1:pos:R:3 pbc="T T T"
Tl 9.234 5.331 1.233
Tl 9.234 3.442 11.977
Tl 5.400 3.118 5.373
Tl 5.962 5.331 1.233
Tl 7.598 6.276 11.977
Ba 11.397 6.580 11.130
Pt 0.000 0.000 0.000
Tl 7.598 6.924 5.373
Ba 11.397 6.580 4.131
Hg 7.598 4.387 3.675
Tl 9.796 5.655 7.838
Tl 7.598 1.849 7.838
Pt 7.598 4.387 6.605
Hg 7.598 4.387 9.535
Tl 5.400 5.655 7.838
Tl 7.598 2.497 1.233
Tl 9.796 3.118 5.373
Ba 3.799 2.193 9.080
Ba 3.799 2.193 2.080
Tl 5.962 3.442 11.977
```

=====

Entry 3:
The following is a PBE calculation of an optimized crystal structure of PmPr4Sb2, from Alexandria via LeMat-Bulk.

- symmetry = No. 139
- final energy (eV per atom) = -4.4931
- formation energy from raw total energies (eV/atom) = 0.094
- magnetic moment (μB/f.u.) = 1.149

The structure in extended XYZ format:
```
7
Lattice="-0.699 -5.147 1.722 5.362 -0.924 -0.585 -1.020 5.551 7.483" Properties=species:S:1:pos:R:3 pbc="T T T"
Pr 0.482 0.924 2.959
Sb 2.680 -2.366 2.711
Pm 0.000 0.000 0.000
Pr 2.681 -0.462 -0.292
Sb 0.963 1.846 5.910
Pr -0.350 -2.573 0.861
Pr 3.161 -1.444 5.662
```

=====

Entry 4:
The following is a PBE calculation of an optimized crystal structure of SmTmTcAg, from Alexandria via LeMat-Bulk.

- symmetry = No. 216
- final energy (eV per atom) = -5.6930
- magnetic moment (μB/f.u.) = 0.000

The structure in extended XYZ format:
```
4
Lattice="4.989 0.000 0.000 2.494 4.320 0.000 2.494 1.440 4.073" Properties=species:S:1:pos:R:3 pbc="T T T"
Sm 4.989 2.880 2.037
Ag 2.494 1.440 1.018
Tc 7.483 4.320 3.055
Tm 0.000 0.000 0.000
```

=====

Entry 5:
The following is a PBE calculation of an optimized crystal structure of RbBe4B3O9, from Alexandria via LeMat-Bulk.

- symmetry = No. 62
- final energy (eV per atom) = -7.3281
- formation energy from raw total energies (eV/atom) = -2.591
- magnetic moment (μB/f.u.) = 0.000

The structure in extended XYZ format:
```
68
Lattice="6.479 0.000 0.000 0.000 8.549 0.000 0.000 0.000 13.318" Properties=species:S:1:pos:R:3 pbc="T T T"
B 1.323 1.550 7.141
O 5.476 3.789 6.163
B 1.916 5.825 7.141
O 4.243 8.063 6.163
O 4.509 1.980 7.367
O 4.695 5.933 9.988
O 4.230 8.282 11.174
O 4.230 8.282 8.803
B 1.983 8.168 3.329
O 1.456 6.891 3.329
B 1.916 5.825 12.836
O 0.576 1.822 8.231
B 4.563 2.724 6.177
Rb 5.319 0.522 3.329
O 1.971 6.570 0.708
B 5.156 6.999 6.177
O 0.990 4.542 2.144
Be 2.610 8.039 5.902
Be 0.892 6.206 4.756
O 1.269 2.295 0.708
Be 2.610 8.039 0.757
Be 5.849 4.785 12.561
B 4.563 2.724 0.482
Be 4.132 6.618 8.561
Be 3.869 0.510 7.416
Be 5.849 4.785 7.416
Be 2.347 1.931 4.756
O 5.210 6.255 7.367
O 2.249 0.268 2.144
O 1.784 2.617 3.329
B 5.156 6.999 0.482
O 2.664 6.096 11.745
O 3.815 2.453 5.086
O 5.903 6.728 1.573
Rb 2.080 3.753 9.988
O 1.003 4.761 7.155
O 0.576 1.822 11.745
B 4.496 0.381 9.988
O 5.903 6.728 5.086
O 1.269 2.295 5.951
O 2.236 0.486 12.822
Rb 4.399 4.797 3.329
O 5.210 6.255 12.610
O 2.236 0.486 7.155
Be 5.587 2.343 11.415
Be 3.869 0.510 12.561
Be 5.587 2.343 8.561
Be 4.132 6.618 11.415
Rb 1.160 8.027 9.988
O 1.971 6.570 5.951
O 4.509 1.980 12.610
O 5.476 3.789 0.496
B 1.256 3.894 3.329
O 5.023 1.658 9.988
O 2.664 6.096 8.231
B 1.323 1.550 12.836
O 5.489 4.007 8.803
Be 0.630 3.765 0.757
O 0.990 4.542 4.515
Be 0.630 3.765 5.902
O 3.815 2.453 1.573
B 5.223 4.656 9.988
Be 0.892 6.206 1.902
O 2.249 0.268 4.515
O 1.003 4.761 12.822
O 4.243 8.063 0.496
O 5.489 4.007 11.174
Be 2.347 1.931 1.902
```

=====

Entry 6:
The following is a PBE calculation of an optimized crystal structure of HfRePPt2, from Alexandria via LeMat-Bulk.

- symmetry = No. 123
- final energy (eV per atom) = -6.2510
- magnetic moment (μB/f.u.) = 1.988

The structure in extended XYZ format:
```
5
Lattice="4.880 0.000 0.000 0.000 4.932 0.000 0.000 0.000 4.880" Properties=species:S:1:pos:R:3 pbc="T T T"
P 2.440 2.466 2.440
Hf 0.000 0.000 0.000
Re 0.000 2.466 0.000
Pt 2.440 0.000 0.000
Pt 0.000 0.000 2.440
```

=====

Entry 7:
The following is a PBE calculation of an optimized crystal structure of Zr2PaTi, from Alexandria via LeMat-Bulk.

- symmetry = No. 166
- energy above the lowest structure with this stoichiometry (eV per atom) = 0.114
- final energy (eV per atom) = -8.4209
- magnetic moment (μB/f.u.) = 0.000

The structure in extended XYZ format:
```
4
Lattice="-0.760 2.042 2.205 0.497 -0.683 2.983 9.772 4.814 1.086" Properties=species:S:1:pos:R:3 pbc="T T T"
Ti 4.754 3.087 3.137
Zr 2.479 2.572 5.009
Zr 7.029 3.601 1.265
Pa 0.000 0.000 0.000
```

=====

Entry 8:
The following is a PBE calculation of an optimized crystal structure of SrLiTl2Cr, from Alexandria via LeMat-Bulk.

- symmetry = No. 123
- final energy (eV per atom) = -2.6024
- magnetic moment (μB/f.u.) = 4.751

The structure in extended XYZ format:
```
5
Lattice="-3.786 2.923 -3.933 3.530 -1.388 -4.430 -3.156 -5.256 -0.868" Properties=species:S:1:pos:R:3 pbc="T T T"
Tl -1.578 -2.628 -0.434
Cr 1.765 -0.694 -2.215
Sr 0.000 0.000 0.000
Li -1.706 -1.861 -4.616
Tl -1.893 1.461 -1.966
```

=====

Entry 9:
The following is a PBE calculation of an optimized crystal structure of Th2Co4Si3Ge, from Alexandria via LeMat-Bulk.

- symmetry = No. 115
- final energy (eV per atom) = -7.1555
- formation energy from raw total energies (eV/atom) = -0.741
- magnetic moment (μB/f.u.) = 0.138

The structure in extended XYZ format:
```
10
Lattice="4.040 0.000 0.000 0.000 4.040 0.000 0.000 0.000 9.654" Properties=species:S:1:pos:R:3 pbc="T T T"
Co 0.000 2.020 3.552
Co 0.000 0.000 0.000
Co 2.020 0.000 6.102
Th 0.000 2.020 7.247
Th 2.020 0.000 2.407
Co 2.020 2.020 0.000
Ge 2.020 2.020 4.827
Si 0.000 2.020 1.208
Si 2.020 0.000 8.446
Si 0.000 0.000 4.827
```

=====

Entry 10:
The following is a PBE calculation of an optimized crystal structure of NdDy7Tm12, from Alexandria via LeMat-Bulk.

- symmetry = No. 229
- energy above the lowest structure with this stoichiometry (eV per atom) = 0.414
- final energy (eV per atom) = -3.8036
- magnetic moment (μB/f.u.) = 0.000

The structure in extended XYZ format:
```
20
Lattice="9.096 0.000 -3.216 -4.548 7.877 -3.216 0.000 0.000 9.648" Properties=species:S:1:pos:R:3 pbc="T T T"
Tm 1.064 5.866 3.216
Tm 3.484 2.011 0.000
Tm 0.000 4.023 0.000
Tm 3.387 5.866 -0.069
Dy 4.548 0.000 -1.608
Tm 2.323 0.000 6.363
Tm 5.612 2.012 -3.216
Tm -1.064 5.866 6.432
Dy 4.548 0.000 3.216
Dy -2.274 3.939 3.216
Tm 4.548 3.854 3.216
Dy 2.274 3.939 -3.216
Tm -3.386 5.866 0.069
Tm 1.161 2.012 3.285
Tm 2.225 7.877 -3.147
Tm 7.934 2.011 3.147
Dy -2.274 3.939 -1.608
Nd 0.000 0.000 0.000
Dy 0.000 0.000 4.824
Dy 2.274 3.939 1.608
```

=====

Entry 11:
The following is a PBE calculation of an optimized crystal structure of CoAgBr2, from Alexandria via LeMat-Bulk.

- symmetry = No. 12
- energy above the lowest structure with this stoichiometry (eV per atom) = 0.267
- final energy (eV per atom) = -3.0627
- formation energy from raw total energies (eV/atom) = 0.263
- magnetic moment (μB/f.u.) = 2.059

The structure in extended XYZ format:
```
4
Lattice="6.928 -0.085 -0.165 -3.509 4.247 0.077 -0.091 1.744 3.404" Properties=species:S:1:pos:R:3 pbc="T T T"
Ag 1.709 2.081 -0.044
Co -1.800 2.995 1.740
Br 0.000 0.000 0.000
Br 3.418 0.830 1.619
```

=====

Entry 12:
The following is a PBE calculation of an optimized crystal structure of SmCuPt, from Alexandria via LeMat-Bulk.

- symmetry = No. 62
- energy above the lowest structure with this stoichiometry (eV per atom) = 0.120
- final energy (eV per atom) = -5.6037
- magnetic moment (μB/f.u.) = 0.000

The structure in extended XYZ format:
```
12
Lattice="-1.479 4.262 -0.785 -2.097 -1.621 -4.855 -8.302 -2.091 4.285" Properties=species:S:1:pos:R:3 pbc="T T T"
Pt -5.536 -0.942 -1.365
Sm -3.714 0.069 0.695
Cu -5.328 1.371 -2.554
Sm -2.815 -0.251 -2.738
Pt -6.342 1.492 0.011
Cu -2.920 2.524 -0.828
Sm -9.063 0.800 1.384
Cu -6.551 -0.822 1.200
Cu -8.958 -1.975 -0.526
Sm -8.164 0.480 -2.049
Pt -10.863 -0.194 -0.625
Pt -1.015 0.743 -0.730
```

=====

Please write out number 5 again, unchanged.
The following is a PBE calculation of an optimized crystal structure of RbBe4B3O9, from Alexandria via LeMat-Bulk.

- symmetry = No. 62
- final energy (eV per atom) = -7.3281
- formation energy from raw total energies (eV/atom) = -2.591
- magnetic moment (μB/f.u.) = 0.000

The structure in extended XYZ format:
```
68
Lattice="6.479 0.000 0.000 0.000 8.549 0.000 0.000 0.000 13.318" Properties=species:S:1:pos:R:3 pbc="T T T"
B 1.323 1.550 7.141
O 5.476 3.789 6.163
B 1.916 5.825 7.141
O 4.243 8.063 6.163
O 4.509 1.980 7.367
O 4.695 5.933 9.988
O 4.230 8.282 11.174
O 4.230 8.282 8.803
B 1.983 8.168 3.329
O 1.456 6.891 3.329
B 1.916 5.825 12.836
O 0.576 1.822 8.231
B 4.563 2.724 6.177
Rb 5.319 0.522 3.329
O 1.971 6.570 0.708
B 5.156 6.999 6.177
O 0.990 4.542 2.144
Be 2.610 8.039 5.902
Be 0.892 6.206 4.756
O 1.269 2.295 0.708
Be 2.610 8.039 0.757
Be 5.849 4.785 12.561
B 4.563 2.724 0.482
Be 4.132 6.618 8.561
Be 3.869 0.510 7.416
Be 5.849 4.785 7.416
Be 2.347 1.931 4.756
O 5.210 6.255 7.367
O 2.249 0.268 2.144
O 1.784 2.617 3.329
B 5.156 6.999 0.482
O 2.664 6.096 11.745
O 3.815 2.453 5.086
O 5.903 6.728 1.573
Rb 2.080 3.753 9.988
O 1.003 4.761 7.155
O 0.576 1.822 11.745
B 4.496 0.381 9.988
O 5.903 6.728 5.086
O 1.269 2.295 5.951
O 2.236 0.486 12.822
Rb 4.399 4.797 3.329
O 5.210 6.255 12.610
O 2.236 0.486 7.155
Be 5.587 2.343 11.415
Be 3.869 0.510 12.561
Be 5.587 2.343 8.561
Be 4.132 6.618 11.415
Rb 1.160 8.027 9.988
O 1.971 6.570 5.951
O 4.509 1.980 12.610
O 5.476 3.789 0.496
B 1.256 3.894 3.329
O 5.023 1.658 9.988
O 2.664 6.096 8.231
B 1.323 1.550 12.836
O 5.489 4.007 8.803
Be 0.630 3.765 0.757
O 0.990 4.542 4.515
Be 0.630 3.765 5.902
O 3.815 2.453 1.573
B 5.223 4.656 9.988
Be 0.892 6.206 1.902
O 2.249 0.268 4.515
O 1.003 4.761 12.822
O 4.243 8.063 0.496
O 5.489 4.007 11.174
Be 2.347 1.931 1.902
```